A relaxed structure of MgNiI4, computed with PBE.

The value obtained for the theoretical density is 4.586 g/cm³. As for the formation energy (no corrections): -12.47 kcal/mol of atoms. For the total magnetization, the calculation gives 2.0 μB per formula unit.

Unit cell a=7.099 b=4.065 c=7.411 alpha=90.00 beta=90.70 gamma=90.00
Space group P2/m (No. 10)
Inequivalent atoms, fractional coordinates:
1 Mg 0.000 0.000 0.000
2 Ni 0.500 0.500 0.000
3 I 0.183 0.500 0.222
4 I 0.345 0.000 0.792